[1]
Here is an optimized crystal structure of MgMoCl2 from Alexandria via LeMat-Bulk. Energies are from PBE-GGA.

abc: 3.2691 3.2691 9.6138
angles: 90.00 90.00 124.56
Last column: nearest neighbours and their distance in Å.
Positions (direct):
Cl 0.0000 0.0000 0.9522  2 Mo 2.47
Cl 0.0000 0.0000 0.5478  2 Mo 2.47
Mg 0.5000 0.5000 0.2500  6 Mg 3.04-3.27, 4 Cl 3.24
Mo 0.5000 0.5000 0.7500  4 Cl 2.47

[2]
Here is an optimized crystal structure of Mg2MoCl from Alexandria via LeMat-Bulk. Energies are from PBE-GGA.

abc: 7.5183 7.5183 6.0593
angles: 51.65 51.65 90.00
Last column: nearest neighbours and their distance in Å.
Positions (direct):
Mo 0.0000 0.0000 0.0000  2 Cl 2.91, 4 Mg 2.93
Mo 0.7500 0.2500 0.5000  2 Cl 2.91, 4 Mg 2.93
Mg 0.5930 0.1250 0.2500  2 Cl 2.60
Mg 0.1570 0.6250 0.2500  2 Cl 2.60
Mg 0.3750 0.4070 0.7500  2 Cl 2.60
Mg 0.8750 0.8430 0.7500  2 Cl 2.60
Cl 0.5000 0.5000 0.0000  4 Mg 2.60, 2 Mo 2.91
Cl 0.2500 0.7500 0.5000  4 Mg 2.60, 2 Mo 2.91

[3]
Here is an optimized crystal structure of MgMoCl2 from Alexandria via LeMat-Bulk. Energies are from PBE-GGA.

abc: 3.1015 3.1015 9.2388
angles: 90.00 90.00 90.00
Last column: nearest neighbours and their distance in Å.
Positions (direct):
Cl 0.0000 0.0000 0.9124  4 Mo 2.66
Cl 0.0000 0.0000 0.5876  4 Mo 2.66
Mg 0.5000 0.5000 0.2500  4 Mg 3.10
Mo 0.5000 0.5000 0.7500  8 Cl 2.66

[4]
Here is an optimized crystal structure of MgMo3Cl from Alexandria via LeMat-Bulk. Energies are from PBE-GGA.

abc: 4.7254 4.7254 4.7254
angles: 90.00 90.00 90.00
Last column: nearest neighbours and their distance in Å.
Positions (direct):
Mo 0.0000 0.5000 0.0000  2 Mg 2.36
Mo 0.0000 0.0000 0.5000  2 Mg 2.36
Mo 0.5000 0.0000 0.0000  2 Mg 2.36
Mg 0.0000 0.0000 0.0000  6 Mo 2.36
Cl 0.5000 0.5000 0.5000  12 Mo 3.34

[5]
Here is an optimized crystal structure of Mg3MoCl from Alexandria via LeMat-Bulk. Energies are from PBE-GGA.

abc: 4.7503 4.7503 4.7503
angles: 90.00 90.00 90.00
Last column: nearest neighbours and their distance in Å.
Positions (direct):
Mo 0.5000 0.5000 0.5000  12 Mg 3.36
Mg 0.0000 0.5000 0.0000  2 Cl 2.38
Mg 0.0000 0.0000 0.5000  2 Cl 2.38
Mg 0.5000 0.0000 0.0000  2 Cl 2.38
Cl 0.0000 0.0000 0.0000  6 Mg 2.38

[6]
Here is an optimized crystal structure of Mg2MoCl from Alexandria via LeMat-Bulk. Energies are from PBE-GGA.

abc: 3.0377 3.0377 8.4732
angles: 90.00 90.00 90.00
Last column: nearest neighbours and their distance in Å.
Positions (direct):
Cl 0.5000 0.5000 0.6936  4 Mo 2.62
Mg 0.0000 0.0000 0.0073  8 Mg 3.04-3.17
Mg 0.5000 0.5000 0.2830  4 Mo 2.92, 8 Mg 3.04-3.17
Mo 0.0000 0.0000 0.5161  4 Cl 2.62, 4 Mg 2.92

[7]
Here is an optimized crystal structure of Mg2MoCl from Alexandria via LeMat-Bulk. Energies are from PBE-GGA.

abc: 2.9861 2.9861 8.2632
angles: 90.00 90.00 90.00
Last column: nearest neighbours and their distance in Å.
Positions (direct):
Cl 0.5000 0.5000 0.7500  8 Mg 2.97, 4 Cl 2.99
Mg 0.0000 0.0000 0.0032  4 Mo 2.94, 4 Cl 2.97, 4 Mg 2.99
Mg 0.0000 0.0000 0.4968  4 Mo 2.94, 4 Cl 2.97, 4 Mg 2.99
Mo 0.5000 0.5000 0.2500  8 Mg 2.94, 4 Mo 2.99

[8]
Here is an optimized crystal structure of MgMoCl2 from Alexandria via LeMat-Bulk. Energies are from PBE-GGA.

abc: 9.4230 9.4230 9.4230
angles: 161.36 160.91 26.81
Last column: nearest neighbours and their distance in Å.
Positions (direct):
Cl 0.0168 0.0168 0.0000  4 Mg 2.60
Cl 0.7360 0.2360 0.5000  4 Mo 2.54
Mg 0.4401 0.4401 0.0000  4 Cl 2.60, 2 Mo 2.88
Mo 0.3071 0.8071 0.5000  4 Cl 2.54

[9]
Here is an optimized crystal structure of MgMoCl2 from Alexandria via LeMat-Bulk. Energies are from PBE-GGA.

abc: 4.2217 3.0339 5.7156
angles: 97.67 90.00 90.00
Last column: nearest neighbours and their distance in Å.
Positions (direct):
Cl 0.0000 0.8674 0.9946  2 Mo 2.53, 2 Mg 2.74, 1 Cl 2.79
Cl 0.0000 0.6326 0.5054  2 Mo 2.53, 2 Mg 2.74, 1 Cl 2.79
Mg 0.5000 0.2500 0.2500  4 Cl 2.74, 2 Mg 3.03, 2 Mo 3.05
Mo 0.5000 0.7500 0.7500  4 Cl 2.53

[10]
Here is an optimized crystal structure of Mg3MoCl from Alexandria via LeMat-Bulk. Energies are from PBE-GGA.

abc: 5.5062 5.5062 5.5062
angles: 90.00 90.00 90.00
Last column: nearest neighbours and their distance in Å.
Positions (direct):
Mo 0.0000 0.0000 0.0000  6 Mg 2.75
Mg 0.0000 0.5000 0.0000  2 Mo 2.75
Mg 0.0000 0.0000 0.5000  2 Mo 2.75
Mg 0.5000 0.0000 0.0000  2 Mo 2.75
Cl 0.5000 0.5000 0.5000  12 Mg 3.89

[11]
Here is an optimized crystal structure of Mg2MoCl from Alexandria via LeMat-Bulk. Energies are from PBE-GGA.

abc: 3.0334 3.0334 10.6114
angles: 90.00 90.00 118.06
Last column: nearest neighbours and their distance in Å.
Positions (direct):
Cl 0.5000 0.5000 0.6838  2 Mo 2.43
Mg 0.0000 0.0000 0.0242  8 Mg 3.03-3.17
Mg 0.5000 0.5000 0.2840  2 Mo 2.84, 8 Mg 3.03-3.17
Mo 0.0000 0.0000 0.5080  2 Cl 2.43

[12]
Here is an optimized crystal structure of Mg2MoCl2 from Alexandria via LeMat-Bulk. Energies are from PBE-GGA.

abc: 8.4690 8.4690 3.6581
angles: 90.00 90.00 90.00
Last column: nearest neighbours and their distance in Å.
Positions (direct):
Mo 0.0000 0.0000 0.0000  4 Mg 3.00
Mo 0.5000 0.5000 0.0000  4 Mg 3.00
Mg 0.2687 0.7687 0.0000  2 Cl 2.45
Mg 0.7687 0.7313 0.0000  2 Cl 2.45
Mg 0.7313 0.2313 0.0000  2 Cl 2.45
Mg 0.2313 0.2687 0.0000  2 Cl 2.45
Cl 0.1329 0.6329 0.5000  2 Mg 2.45
Cl 0.6329 0.8671 0.5000  2 Mg 2.45
Cl 0.8671 0.3671 0.5000  2 Mg 2.45
Cl 0.3671 0.1329 0.5000  2 Mg 2.45

no.,excess energy over the best structure of this formula in the dataset (meV per atom),ΔE_f (raw) (eV per atom)
1,258.8,-0.122
2,696.1,0.474
3,535.2,0.154
4,1612.9,2.500
5,0.0,0.634
6,422.9,0.201
7,77.9,-0.144
8,57.5,-0.324
9,287.2,-0.094
10,177.2,0.811
11,388.9,0.167
12,246.6,0.287